Entry 1:
VASP calculation (GGA-PBE) on a relaxed structure of DyHoGaPb.

Unit cell a=7.4404 b=7.4404 c=7.4404 alpha=90.00 beta=90.00 gamma=90.00
Closest atoms and distances in Å follow each position.
Space group F-43m (No. 216)
One atom of each set of equivalent atoms:
Dy (0.0000, 0.0000, 0.0000)  4 Ga 3.22, 4 Pb 3.22
Ho (0.0000, 0.0000, 0.5000)  4 Pb 3.22, 4 Ga 3.22
Ga (0.2500, 0.2500, 0.7500)  4 Dy 3.22, 4 Ho 3.22
Pb (0.2500, 0.2500, 0.2500)  4 Dy 3.22, 4 Ho 3.22

Properties
Its size of the total moment is 0.00 μB per atom. As for the crystal system: cubic.

Entry 2:
VASP calculation (GGA-PBE) on a relaxed structure of Dy2Ho2Ga4Pd.

Unit cell a=7.0085 b=7.0085 c=8.5575 alpha=90.00 beta=90.00 gamma=90.00
Closest atoms and distances in Å follow each position.
Space group I4/mmm (No. 139)
One atom of each set of equivalent atoms:
Dy (0.0000, 0.5000, 0.2500)  8 Ga 3.27, 4 Ho 3.54
Ho (0.0000, 0.0000, 0.1904)  1 Pd 2.65, 4 Ga 2.96
Ga (0.2499, 0.2499, 0.0000)  1 Pd 2.48
Pd (0.0000, 0.0000, 0.5000)  4 Ga 2.48, 2 Ho 2.65

Properties
Its size of the total moment is 0.00 μB per atom. As for the crystal system: tetragonal.

Entry 3:
VASP calculation (GGA-PBE) on a relaxed structure of DyHo2Ga3Pt4.

Unit cell a=4.1467 b=4.1467 c=11.5953 alpha=90.00 beta=90.00 gamma=90.00
Closest atoms and distances in Å follow each position.
Space group P-4m2 (No. 115)
One atom of each set of equivalent atoms:
Dy (0.0000, 0.0000, 0.0000)  4 Pt 2.79, 4 Ga 2.93
Ho (0.0000, 0.5000, 0.7268)  4 Ga 3.15, 8 Pt 3.21-3.35
Ga (0.0000, 0.5000, 0.3725)  5 Pt 2.46-2.55
Ga (0.5000, 0.5000, 0.0000)  4 Pt 2.79, 4 Dy 2.93
Pt (0.0000, 0.0000, 0.5000)  4 Ga 2.55
Pt (0.0000, 0.5000, 0.1605)  1 Ga 2.46
Pt (0.5000, 0.5000, 0.5000)  4 Ga 2.55

Properties
Its size of the total moment is 0.00 μB per atom. As for the crystal system: tetragonal.

Entry 4:
VASP calculation (GGA-PBE) on a relaxed structure of DyHoGaRh.

Unit cell a=4.3266 b=3.8789 c=10.6678 alpha=90.00 beta=90.00 gamma=90.00
Closest atoms and distances in Å follow each position.
Space group Amm2 (No. 38)
One atom of each set of equivalent atoms:
Dy (0.0000, 0.0000, 0.0000)  3 Ga 2.99-3.06, 4 Rh 2.99
Ho (0.5000, 0.0000, 0.7182)  4 Ga 3.00, 3 Rh 3.00-3.04
Ga (0.0000, 0.0000, 0.2869)  2 Rh 2.67
Rh (0.5000, 0.0000, 0.4328)  2 Ga 2.67

Properties
Its size of the total moment is 0.00 μB per atom. As for the crystal system: orthorhombic. As for the relative energy among the computed polymorphs: 0 meV per atom.

Entry 5:
VASP calculation (GGA-PBE) on a relaxed structure of DyHoGaRh.

Unit cell a=7.0023 b=7.0023 c=7.0023 alpha=90.00 beta=90.00 gamma=90.00
Closest atoms and distances in Å follow each position.
Space group F-43m (No. 216)
One atom of each set of equivalent atoms:
Dy (0.0000, 0.0000, 0.0000)  4 Rh 3.03, 4 Ga 3.03
Ho (0.0000, 0.0000, 0.5000)  4 Rh 3.03, 4 Ga 3.03
Ga (0.2500, 0.2500, 0.7500)  4 Dy 3.03, 4 Ho 3.03
Rh (0.2500, 0.2500, 0.2500)  4 Dy 3.03, 4 Ho 3.03

Properties
Its size of the total moment is 0.00 μB per atom. As for the crystal system: cubic. As for the relative energy among the computed polymorphs: 52 meV per atom.

Entry 6:
VASP calculation (GGA-PBE) on a relaxed structure of DyHoGaRu.

Unit cell a=6.9574 b=6.9574 c=6.9574 alpha=90.00 beta=90.00 gamma=90.00
Closest atoms and distances in Å follow each position.
Space group F-43m (No. 216)
One atom of each set of equivalent atoms:
Dy (0.0000, 0.0000, 0.0000)  4 Ru 3.01, 4 Ga 3.01
Ho (0.0000, 0.0000, 0.5000)  4 Ru 3.01, 4 Ga 3.01
Ga (0.2500, 0.2500, 0.2500)  4 Dy 3.01, 4 Ho 3.01
Ru (0.2500, 0.2500, 0.7500)  4 Dy 3.01, 4 Ho 3.01

Properties
Its size of the total moment is 0.00 μB per atom. As for the crystal system: cubic. As for the relative energy among the computed polymorphs: 29 meV per atom.

Entry 7:
VASP calculation (GGA-PBE) on a relaxed structure of DyHoGaRu.

Unit cell a=4.2802 b=3.9102 c=10.6645 alpha=90.00 beta=90.00 gamma=90.00
Closest atoms and distances in Å follow each position.
Space group Amm2 (No. 38)
One atom of each set of equivalent atoms:
Dy (0.0000, 0.0000, 0.0000)  4 Ga 3.02, 3 Ru 3.02-3.03
Ho (0.5000, 0.0000, 0.2855)  3 Ga 2.95-3.12, 4 Ru 2.99
Ga (0.5000, 0.0000, 0.5779)  2 Ru 2.60
Ru (0.0000, 0.0000, 0.7161)  2 Ga 2.60

Properties
Its size of the total moment is 0.00 μB per atom. As for the crystal system: orthorhombic. As for the relative energy among the computed polymorphs: 0 meV per atom.

Entry 8:
VASP calculation (GGA-PBE) on a relaxed structure of SmDyHoGa.

Unit cell a=7.5592 b=7.5592 c=7.5592 alpha=90.00 beta=90.00 gamma=90.00
Closest atoms and distances in Å follow each position.
Space group F-43m (No. 216)
One atom of each set of equivalent atoms:
Sm (0.0000, 0.0000, 0.0000)  4 Ga 3.27, 4 Ho 3.27
Dy (0.0000, 0.0000, 0.5000)  4 Ho 3.27, 4 Ga 3.27
Ho (0.2500, 0.2500, 0.7500)  4 Dy 3.27, 4 Sm 3.27
Ga (0.2500, 0.2500, 0.2500)  4 Dy 3.27, 4 Sm 3.27

Properties
Its size of the total moment is 0.22 μB per atom. As for the crystal system: cubic.

Entry 9:
VASP calculation (GGA-PBE) on a relaxed structure of Dy2Ho2Ga4Sn.

Unit cell a=7.0711 b=7.0711 c=9.2192 alpha=90.00 beta=90.00 gamma=90.00
Closest atoms and distances in Å follow each position.
Space group I4/mmm (No. 139)
One atom of each set of equivalent atoms:
Dy (0.0000, 0.0000, 0.1900)  1 Sn 2.86, 4 Ga 2.93
Ho (0.0000, 0.5000, 0.2500)  8 Ga 3.40, 4 Dy 3.58
Ga (0.2344, 0.2344, 0.0000)  1 Sn 2.66, 2 Dy 2.93
Sn (0.0000, 0.0000, 0.5000)  4 Ga 2.66, 2 Dy 2.86

Properties
Its size of the total moment is 0.00 μB per atom. As for the crystal system: tetragonal.

Entry 10:
VASP calculation (GGA-PBE) on a relaxed structure of DyHoTmGa.

Unit cell a=7.4738 b=7.4738 c=7.4738 alpha=90.00 beta=90.00 gamma=90.00
Closest atoms and distances in Å follow each position.
Space group F-43m (No. 216)
One atom of each set of equivalent atoms:
Dy (0.0000, 0.0000, 0.0000)  4 Ga 3.24, 4 Tm 3.24
Ho (0.0000, 0.0000, 0.5000)  4 Tm 3.24, 4 Ga 3.24
Tm (0.2500, 0.2500, 0.2500)  4 Dy 3.24, 4 Ho 3.24
Ga (0.2500, 0.2500, 0.7500)  4 Ho 3.24, 4 Dy 3.24

Properties
Its size of the total moment is 0.10 μB per atom. As for the crystal system: cubic.

Entry 11:
VASP calculation (GGA-PBE) on a relaxed structure of Dy2Ho2ZnGa4.

Unit cell a=6.9403 b=6.9403 c=8.6830 alpha=90.00 beta=90.00 gamma=90.00
Closest atoms and distances in Å follow each position.
Space group I4/mmm (No. 139)
One atom of each set of equivalent atoms:
Dy (0.0000, 0.0000, 0.1876)  1 Zn 2.71, 4 Ga 2.98
Ho (0.0000, 0.5000, 0.2500)  8 Ga 3.28, 4 Dy 3.51
Zn (0.0000, 0.0000, 0.5000)  4 Ga 2.41
Ga (0.2459, 0.2459, 0.5000)  1 Zn 2.41

Properties
Its size of the total moment is 0.00 μB per atom. As for the crystal system: tetragonal.

Entry 12:
VASP calculation (GGA-PBE) on a relaxed structure of DyGa2I5.

Unit cell a=15.8097 b=8.1794 c=11.5136 alpha=90.00 beta=112.89 gamma=90.00
Closest atoms and distances in Å follow each position.
Space group C2/c (No. 15)
One atom of each set of equivalent atoms:
Dy (0.0000, 0.0000, 0.0000)  6 I 3.01-3.12
Ga (0.1103, 0.4753, 0.2067)  5 I 3.08-3.38
I (0.0000, 0.1485, 0.7500)  2 Dy 3.12
I (0.0906, 0.3098, 0.4621)  1 Dy 3.03, 3 Ga 3.23-3.36
I (0.1845, 0.1565, 0.1391)  1 Dy 3.01, 1 Ga 3.08

Properties
Its size of the total moment is 0.00 μB per atom. As for the crystal system: monoclinic.

Entry 13:
VASP calculation (GGA-PBE) on a relaxed structure of Dy7GaI12.

Unit cell a=15.6969 b=15.6969 c=10.4402 alpha=90.00 beta=90.00 gamma=120.00
Closest atoms and distances in Å follow each position.
Space group R-3 (No. 148, hexagonal axes)
One atom of each set of equivalent atoms:
Dy (0.0000, 0.0000, 0.0000)  6 I 3.07
Dy (0.0463, 0.8832, 0.3486)  1 Ga 2.78, 1 I 3.09
Ga (0.0000, 0.0000, 0.5000)  6 Dy 2.78
I (0.0216, 0.4351, 0.1641)  3 Dy 3.09-3.27
I (0.0517, 0.8685, 0.8383)  3 Dy 3.07-3.13

Properties
Its size of the total moment is 0.00 μB per atom. As for the crystal system: trigonal.

Entry 14:
VASP calculation (GGA-PBE) on a relaxed structure of DyGaI4.

Unit cell a=16.9994 b=4.4701 c=8.1682 alpha=90.00 beta=116.06 gamma=90.00
Closest atoms and distances in Å follow each position.
Space group C2/m (No. 12)
One atom of each set of equivalent atoms:
Dy (0.0000, 0.0000, 0.0000)  6 I 2.99-3.09
Ga (0.0000, 0.5000, 0.5000)  6 I 3.27-3.34
I (0.1130, 0.0000, 0.8050)  1 Dy 2.99, 2 Ga 3.27
I (0.1142, 0.5000, 0.2553)  2 Dy 3.09, 1 Ga 3.34

Properties
Its size of the total moment is 0.00 μB per atom. As for the crystal system: monoclinic.

Entry 15:
VASP calculation (GGA-PBE) on a relaxed structure of DyGa2I8.

Unit cell a=13.7909 b=11.5249 c=7.2349 alpha=90.00 beta=100.74 gamma=90.00
Closest atoms and distances in Å follow each position.
Space group C2/m (No. 12)
One atom of each set of equivalent atoms:
Dy (0.0000, 0.0000, 0.0000)  6 I 3.03-3.08
Ga (0.2013, 0.0000, 0.6717)  4 I 2.59-2.75
I (0.0949, 0.1790, 0.7828)  1 Ga 2.74, 1 Dy 3.03
I (0.1161, 0.5000, 0.1592)  1 Ga 2.59
I (0.1943, 0.0000, 0.2899)  1 Ga 2.75

Properties
Its size of the total moment is 0.00 μB per atom. As for the crystal system: monoclinic.

Entry 16:
VASP calculation (GGA-PBE) on a relaxed structure of DyIn2GaI6.

Unit cell a=8.4542 b=8.4542 c=21.8416 alpha=90.00 beta=90.00 gamma=120.00
Closest atoms and distances in Å follow each position.
Space group R3 (No. 146, hexagonal axes)
One atom of each set of equivalent atoms:
Dy (0.0000, 0.0000, 0.0000)  6 I 3.03-3.07
In (0.0000, 0.0000, 0.1996)  6 I 3.48-3.57
In (0.0000, 0.0000, 0.6923)  6 I 3.47-3.52
Ga (0.0000, 0.0000, 0.4941)  6 I 3.26-3.39
I (0.0284, 0.6283, 0.7524)  1 Dy 3.07, 1 Ga 3.26
I (0.0668, 0.3427, 0.5906)  1 Dy 3.03

Properties
Its size of the total moment is 0.00 μB per atom. As for the crystal system: trigonal.

Entry 17:
VASP calculation (GGA-PBE) on a relaxed structure of DyInGa2I6.

Unit cell a=8.2202 b=8.2202 c=22.4102 alpha=90.00 beta=90.00 gamma=120.00
Closest atoms and distances in Å follow each position.
Space group R3 (No. 146, hexagonal axes)
One atom of each set of equivalent atoms:
Dy (0.0000, 0.0000, 0.0000)  6 I 3.03-3.08
In (0.0000, 0.0000, 0.5075)  6 I 3.45-3.56
Ga (0.0000, 0.0000, 0.3219)  6 I 3.28-3.32
Ga (0.0000, 0.0000, 0.8146)  6 I 3.28-3.39
I (0.0148, 0.3649, 0.7392)  1 Dy 3.03, 1 Ga 3.32
I (0.0171, 0.7166, 0.9144)  1 Dy 3.08, 2 Ga 3.28

Properties
Its size of the total moment is 0.00 μB per atom. As for the crystal system: trigonal.

Entry 18:
VASP calculation (GGA-PBE) on a relaxed structure of NaDyGa2I6.

Unit cell a=8.1479 b=8.1479 c=21.6747 alpha=90.00 beta=90.00 gamma=120.00
Closest atoms and distances in Å follow each position.
Space group R3 (No. 146, hexagonal axes)
One atom of each set of equivalent atoms:
Na (0.0000, 0.0000, 0.0000)  6 I 3.22-3.35
Dy (0.0000, 0.0000, 0.4933)  6 I 3.03-3.07
Ga (0.0000, 0.0000, 0.3042)  6 I 3.27-3.39
Ga (0.0000, 0.0000, 0.8093)  6 I 3.29-3.32
I (0.0040, 0.3757, 0.2358)  1 Dy 3.03, 2 Ga 3.29-3.39, 1 Na 3.35
I (0.0436, 0.6791, 0.0727)  1 Dy 3.07, 1 Na 3.22, 2 Ga 3.27-3.32

Properties
Its size of the total moment is 0.00 μB per atom. As for the crystal system: trigonal.

Entry 19:
VASP calculation (GGA-PBE) on a relaxed structure of RbDyGa2I6.

Unit cell a=8.3091 b=8.3127 c=8.9864 alpha=62.48 beta=62.48 gamma=60.03
Closest atoms and distances in Å follow each position.
Space group P1 (No. 1)
One atom of each set of equivalent atoms:
Rb (0.0000, 0.0000, 0.0000)  6 I 3.64-3.79
Dy (0.5118, 0.5120, 0.4640)  6 I 3.03-3.08
Ga (0.1872, 0.1874, 0.4378)  6 I 3.23-3.40
Ga (0.6959, 0.6964, 0.9110)  6 I 3.29-3.39
I (0.1332, 0.7501, 0.6759)  1 Dy 3.03
I (0.3365, 0.5485, 0.2086)  1 Dy 3.08, 2 Ga 3.23-3.29
I (0.4406, 0.1332, 0.6757)  1 Dy 3.03
I (0.5484, 0.9060, 0.2086)  1 Dy 3.08, 2 Ga 3.23-3.29
I (0.7505, 0.4405, 0.6757)  1 Dy 3.03
I (0.9058, 0.3370, 0.2084)  1 Dy 3.08, 2 Ga 3.23-3.29

Properties
Its size of the total moment is 0.00 μB per atom. As for the crystal system: triclinic.

Entry 20:
VASP calculation (GGA-PBE) on a relaxed structure of DyTl2GaI6.

Unit cell a=8.4979 b=8.4979 c=21.7935 alpha=90.00 beta=90.00 gamma=120.00
Closest atoms and distances in Å follow each position.
Space group R3 (No. 146, hexagonal axes)
One atom of each set of equivalent atoms:
Dy (0.0000, 0.0000, 0.0000)  6 I 3.03-3.06
Tl (0.0000, 0.0000, 0.3047)  6 I 3.54
Tl (0.0000, 0.0000, 0.7966)  6 I 3.55-3.58
Ga (0.0000, 0.0000, 0.5055)  6 I 3.26-3.38
I (0.0116, 0.4042, 0.7441)  1 Dy 3.03, 1 Ga 3.38
I (0.0706, 0.7108, 0.5817)  1 Dy 3.06, 1 Ga 3.26

Properties
Its size of the total moment is 0.00 μB per atom. As for the crystal system: trigonal.

| no. | final energy (eV per atom) |
| --- | --- |
| 1 | -4.400 |
| 2 | -4.393 |
| 3 | -5.659 |
| 4 | -5.633 |
| 5 | -5.581 |
| 6 | -5.835 |
| 7 | -5.864 |
| 8 | -4.316 |
| 9 | -3.995 |
| 10 | -4.258 |
| 11 | -3.803 |
| 12 | -3.152 |
| 13 | -3.886 |
| 14 | -3.345 |
| 15 | -2.827 |
| 16 | -3.039 |
| 17 | -3.046 |
| 18 | -3.063 |
| 19 | -3.082 |
| 20 | -3.050 |